(1)
Below is PuAlZnOs after structural relaxation, with properties calculated at the PBE level.

As for the total energy: -30.6 eV per formula unit.

It has space group F-43m (No. 216), with a = 6.5536 Å, b = 6.5536 Å, c = 6.5536 Å, α = 90.00°, β = 90.00° and γ = 90.00°. Symmetry generates all atoms from Pu at (0.0000, 0.0000, 0.0000), Al at (0.0000, 0.0000, 0.5000), Zn at (0.2500, 0.2500, 0.2500) and Os at (0.2500, 0.2500, 0.7500).



(2)
Below is CsBa2MgPd after structural relaxation, with properties calculated at the PBE level.

As for the total energy: -12.2 eV per formula unit.

It has space group P4/mmm (No. 123), with a = 6.3810 Å, b = 6.3810 Å, c = 5.5320 Å, α = 90.00°, β = 90.00° and γ = 90.00°. Symmetry generates all atoms from Cs at (0.0000, 0.0000, 0.0000), Ba at (0.0000, 0.5000, 0.5000), Mg at (0.5000, 0.5000, 0.0000) and Pd at (0.5000, 0.5000, 0.5000).



(3)
Below is NdNi8Ge2 after structural relaxation, with properties calculated at the PBE level.

As for the total energy: -58.2 eV per formula unit.

It has space group P4/mmm (No. 123), with a = 4.8234 Å, b = 4.8234 Å, c = 7.9093 Å, α = 90.00°, β = 90.00° and γ = 90.00°. Symmetry generates all atoms from Nd at (0.0000, 0.0000, 0.0000), Ni at (0.2544, 0.2544, 0.2902) and Ge at (0.0000, 0.5000, 0.5000).



(4)
Below is Y2TlTc2 after structural relaxation, with properties calculated at the PBE level.

For the energy above the most stable polymorph in this dataset, the calculation gives 464 meV per atom.

It has space group I4/mmm (No. 139), with a = 5.5091 Å, b = 5.5091 Å, c = 8.0167 Å, α = 90.00°, β = 90.00° and γ = 90.00°. Symmetry generates all atoms from Y at (0.0000, 0.5000, 0.2500), Tl at (0.0000, 0.0000, 0.0000) and Tc at (0.0000, 0.0000, 0.3504).



(5)
Below is Pa2Si6TcIr after structural relaxation, with properties calculated at the PBE level.

For the formation energy from raw total energies, the calculation gives -0.3992 eV per atom.

It has space group R-3m (No. 166, hexagonal axes), with a = 5.7720 Å, b = 5.7720 Å, c = 35.5961 Å, α = 90.00°, β = 90.00° and γ = 120.00°. Symmetry generates all atoms from Pa at (0.0000, 0.0000, 0.1352), Pa at (0.0000, 0.0000, 0.2841), Si at (0.0407, 0.5203, 0.8785), Si at (0.0512, 0.5256, 0.7298), Tc at (0.0000, 0.0000, 0.0000), Tc at (0.0000, 0.0000, 0.5000) and Ir at (0.0000, 0.0000, 0.3606).



(6)
Below is BaSrTbCeO6 after structural relaxation, with properties calculated at the PBE level.

For the energy above the most stable polymorph in this dataset, the calculation gives 0 meV per atom. For the formation energy from raw total energies, the calculation gives -2.9492 eV per atom.

It has space group P-1 (No. 2), with a = 6.1509 Å, b = 6.2343 Å, c = 8.7513 Å, α = 90.00°, β = 90.01° and γ = 90.12°. Symmetry generates all atoms from Ba at (0.0085, 0.4656, 0.2502), Sr at (0.4877, 0.9604, 0.2497), Tb at (0.0000, 0.0000, 0.5000), Tb at (0.5000, 0.5000, 0.0000), Ce at (0.0000, 0.0000, 0.0000), Ce at (0.5000, 0.5000, 0.5000), O at (0.1005, 0.9848, 0.7523), O at (0.2109, 0.7172, 0.0430), O at (0.2146, 0.7107, 0.4593), O at (0.2898, 0.2057, 0.0546), O at (0.2950, 0.2099, 0.4448) and O at (0.4224, 0.4512, 0.7478).